No. 1
A relaxed structure of Y2TlCu, computed with GGA-PBE.

crystal system = orthorhombic
theoretical density = 7.32 g/cm3
E_tot = -5.09 eV/atom
ΔH_f (0 K) = -0.2417 eV/atom

Structure (POSCAR):
```
Y2TlCu
1.0
-1.2584 1.5573 -4.1580
2.1819 -2.6561 -1.6552
-3.3520 -4.9648 -0.8450
Y Tl Cu
2 1 1
Direct
0.0000 0.9711 0.9330
0.5000 0.2724 0.3304
0.5000 0.5510 0.7738
0.0000 0.7055 0.4628
```

***

No. 2
A relaxed structure of Y2TlCu, computed with GGA-PBE.

crystal system = tetragonal
theoretical density = 6.83 g/cm3
E_tot = -4.83 eV/atom
ΔH_f (0 K) = 0.0169 eV/atom

Structure (POSCAR):
```
Y2TlCu
1.0
7.9065 0.0000 0.0000
0.0000 7.9065 0.0000
3.9532 3.9532 3.4654
Y Tl Cu
4 2 2
Direct
0.5859 0.1250 0.2500
0.1641 0.6250 0.2500
0.3750 0.4141 0.7500
0.8750 0.8359 0.7500
0.0000 0.0000 0.0000
0.7500 0.2500 0.5000
0.5000 0.5000 0.0000
0.2500 0.7500 0.5000
```

***

No. 3
A relaxed structure of Y4TlCu, computed with GGA-PBE.

crystal system = cubic
theoretical density = 5.91 g/cm3
energy above the most stable polymorph in this dataset = 0.7029 eV per atom
E_tot = -4.89 eV/atom
ΔH_f (0 K) = 0.4974 eV/atom

Structure (POSCAR):
```
Y4TlCu
1.0
-4.2458 1.5735 4.3533
-5.7828 1.7330 -1.7350
-4.8850 -3.7821 1.1341
Y Tl Cu
4 1 1
Direct
0.8763 0.3746 0.3746
0.3746 0.3746 0.8763
0.3746 0.8763 0.3746
0.3746 0.3746 0.3746
0.0000 0.0000 0.0000
0.7500 0.7500 0.7500
```

***

No. 4
A relaxed structure of YTl2Cu2, computed with GGA-PBE.

crystal system = tetragonal
theoretical density = 9.58 g/cm3
energy above the most stable polymorph in this dataset = 0.1716 eV per atom
E_tot = -3.71 eV/atom
ΔH_f (0 K) = 0.1636 eV/atom

Structure (POSCAR):
```
YTl2Cu2
1.0
8.1209 0.0000 0.0000
0.0000 8.1209 0.0000
0.0000 0.0000 3.2832
Y Tl Cu
2 4 4
Direct
0.0000 0.0000 0.0000
0.5000 0.5000 0.0000
0.3630 0.8630 0.0000
0.8630 0.6370 0.0000
0.6370 0.1370 0.0000
0.1370 0.3630 0.0000
0.1631 0.6631 0.5000
0.6631 0.8369 0.5000
0.8369 0.3369 0.5000
0.3369 0.1631 0.5000
```

***

No. 5
A relaxed structure of Y2TlCu, computed with GGA-PBE.

crystal system = trigonal
theoretical density = 6.87 g/cm3
E_tot = -5.00 eV/atom
ΔH_f (0 K) = -0.1529 eV/atom

Structure (POSCAR):
```
Y2TlCu
1.0
8.8202 0.0063 0.0037
7.9918 3.7318 0.0037
7.9918 1.7769 3.2815
Cu Tl Y
1 1 2
Direct
0.2500 0.2500 0.2500
0.7500 0.7500 0.7500
0.9870 0.9870 0.9870
0.5130 0.5130 0.5130
```

***

No. 6
A relaxed structure of YTlCu, computed with GGA-PBE.

crystal system = tetragonal
theoretical density = 8.76 g/cm3
E_tot = -4.42 eV/atom
ΔH_f (0 K) = -0.1071 eV/atom

Structure (POSCAR):
```
YTlCu
1.0
-2.1155 2.8732 -5.0442
-5.5798 0.4342 -2.6177
3.3788 0.3384 5.1618
Cu Tl Y
1 1 1
Direct
0.9980 0.9980 0.0000
0.3534 0.3534 0.0000
0.6486 0.6486 0.0000
```

***

No. 7
A relaxed structure of Y2Tl3Cu, computed with GGA-PBE.

crystal system = orthorhombic
theoretical density = 9.44 g/cm3
E_tot = -4.22 eV/atom
ΔH_f (0 K) = -0.2001 eV/atom

Structure (POSCAR):
```
Y2Tl3Cu
1.0
-2.8288 0.1108 2.2804
-2.1529 -3.5480 -2.4983
3.7883 -5.8063 4.9814
Y Tl Cu
2 3 1
Direct
0.0000 0.5000 0.0166
0.0000 0.0000 0.4929
0.5000 0.0000 0.8405
0.5000 0.0000 0.1898
0.5000 0.5000 0.6373
0.5000 0.5000 0.3230
```

***

No. 8
A relaxed structure of Y5TlCu2, computed with GGA-PBE.

crystal system = tetragonal
theoretical density = 6.22 g/cm3
E_tot = -5.59 eV/atom
ΔH_f (0 K) = -0.2271 eV/atom

Structure (POSCAR):
```
Y5TlCu2
1.0
-6.0949 -4.5495 -2.2481
4.5645 -3.3796 -5.5357
2.6060 -0.6410 8.2214
Y Tl Cu
10 2 4
Direct
0.5158 0.7016 0.7174
0.7984 0.9842 0.2826
0.0000 0.0000 0.0000
0.5000 0.5000 0.0000
0.2016 0.0158 0.7174
0.7016 0.2016 0.7174
0.0158 0.5158 0.7174
0.2984 0.7984 0.2826
0.9842 0.4842 0.2826
0.4842 0.2984 0.2826
0.7500 0.7500 0.5000
0.2500 0.2500 0.5000
0.1286 0.3714 0.0000
0.6286 0.1286 0.0000
0.3714 0.8714 0.0000
0.8714 0.6286 0.0000
```